A relaxed structure of PaReNO. Source: the Open Quantum Materials Database, functional PBE.

Values from the calculation:
The value obtained for the energy above the most stable polymorph in this dataset is 519 meV/atom.

abc: 4.839 4.839 4.452
angles: 90.00 90.00 90.00
Positions (direct):
Pa: 0.250 0.750 0.000
Pa: 0.750 0.250 0.000
Re: 0.250 0.250 0.457
Re: 0.750 0.750 0.543
N: 0.250 0.250 0.959
N: 0.750 0.750 0.041
O: 0.250 0.750 0.500
O: 0.750 0.250 0.500